! PBE with a Hubbard U ReNi2F, relaxed; values from VASP
! **Energy relative to the lowest polymorph listed for this composition**: 382 meV/atom
! **Calculated density**: 11.1 g/cm3
! **Space group**: Fm-3m
! **Volume**: 12.0 Å³/atom
! **D(E_F)**: 2.1 states/eV per cell
&SYSTEM
  ibrav = 0, nat = 4, ntyp = 3
/
ATOMIC_SPECIES
Re 186.21 Re.upf
Ni 58.69 Ni.upf
F 19.00 F.upf
CELL_PARAMETERS angstrom
0.000 2.886 2.886
2.886 0.000 2.886
2.886 2.886 0.000
ATOMIC_POSITIONS angstrom
Re 0.000 0.000 0.000
Ni 1.443 1.443 1.443
Ni 4.329 4.329 4.329
F 2.886 2.886 2.886